# 1
This record from Alexandria describes a relaxed structure of Ba2Cd2Si. The functional is GGA-PBEsol. Values from VASP.

Quantum ESPRESSO input file:
```
&SYSTEM
  ibrav = 0, nat = 5, ntyp = 3
/
ATOMIC_SPECIES
Cd 112.41 Cd.upf
Ba 137.33 Ba.upf
Si 28.09 Si.upf
ATOMIC_POSITIONS crystal
Cd 0.750 0.250 0.500
Cd 0.250 0.750 0.500
Ba 0.408 0.408 0.816
Ba 0.592 0.592 0.184
Si 0.000 0.000 0.000
CELL_PARAMETERS angstrom
4.012 0.000 0.000
0.000 4.012 0.000
-2.006 -2.006 10.165
```

symmetry: I4/mmm (139)
magnetization: 0.00 μB/f.u.
DFT total energy: -13.07 eV/cell
E_form (uncorrected): -127 meV/atom

***

# 2
This record from Alexandria describes a relaxed structure of TbSn2. The functional is GGA-PBEsol. Values from VASP.

Quantum ESPRESSO input file:
```
&SYSTEM
  ibrav = 0, nat = 6, ntyp = 2
/
ATOMIC_SPECIES
Sn 118.71 Sn.upf
Tb 158.93 Tb.upf
ATOMIC_POSITIONS crystal
Sn 0.250 0.749 0.502
Sn 0.250 0.436 0.128
Sn 0.750 0.251 0.498
Sn 0.750 0.564 0.872
Tb 0.250 0.098 0.803
Tb 0.750 0.902 0.197
CELL_PARAMETERS angstrom
-2.242 3.076 -1.991
-2.353 -3.053 -2.068
-6.496 -1.506 4.987
```

DFT formation energy: -0.6732 eV per atom
symmetry: Cmcm (63)
magnetization: 0.00 μB/f.u.
DFT total energy: -31.10 eV/cell

***

# 3
This record from Alexandria describes a relaxed structure of Sm3RuO7. The functional is GGA-PBEsol. Values from VASP.

Quantum ESPRESSO input file:
```
&SYSTEM
  ibrav = 0, nat = 22, ntyp = 3
/
ATOMIC_SPECIES
Sm 150.36 Sm.upf
O 16.00 O.upf
Ru 101.07 Ru.upf
ATOMIC_POSITIONS crystal
Sm 0.087 0.529 0.750
Sm 0.529 0.087 0.750
Sm 0.913 0.471 0.250
Sm 0.000 0.000 0.500
Sm 0.000 0.000 0.000
Sm 0.471 0.913 0.250
O 0.103 0.841 0.250
O 0.414 0.414 0.750
O 0.814 0.561 0.542
O 0.897 0.159 0.750
O 0.159 0.897 0.750
O 0.186 0.439 0.042
O 0.561 0.814 0.958
O 0.841 0.103 0.250
O 0.814 0.561 0.958
O 0.561 0.814 0.542
O 0.439 0.186 0.458
O 0.186 0.439 0.458
O 0.439 0.186 0.042
O 0.586 0.586 0.250
Ru 0.500 0.500 0.500
Ru 0.500 0.500 0.000
CELL_PARAMETERS angstrom
6.466 -0.037 0.000
-2.351 6.023 0.000
0.000 0.000 7.413
```

symmetry: Cmcm (63)
magnetization: 3.02 μB/f.u.
DFT total energy: -184.35 eV/cell
E_form (uncorrected): -2726 meV/atom

***

# 4
This record from Alexandria describes a relaxed structure of Fe2TcRu. The functional is GGA-PBEsol. Values from VASP.

Quantum ESPRESSO input file:
```
&SYSTEM
  ibrav = 0, nat = 4, ntyp = 3
/
ATOMIC_SPECIES
Tc 98.00 Tc.upf
Fe 55.84 Fe.upf
Ru 101.07 Ru.upf
ATOMIC_POSITIONS crystal
Tc 0.500 0.500 0.768
Fe 0.500 0.500 0.235
Fe 0.000 0.000 0.012
Ru 0.000 0.000 0.485
CELL_PARAMETERS angstrom
-0.056 0.800 2.466
-3.505 -0.734 0.158
1.074 -4.786 1.577
```

DFT formation energy: 0.1169 eV per atom
symmetry: Pmm2 (25)
energy above the lowest structure with this stoichiometry: 0.0 meV per atom
magnetization: 1.71 μB/f.u.
DFT total energy: -38.90 eV/cell

***

# 5
This record from Alexandria describes a relaxed structure of Cd3RhI. The functional is GGA-PBEsol. Values from VASP.

Quantum ESPRESSO input file:
```
&SYSTEM
  ibrav = 0, nat = 5, ntyp = 3
/
ATOMIC_SPECIES
Cd 112.41 Cd.upf
I 126.90 I.upf
Rh 102.91 Rh.upf
ATOMIC_POSITIONS crystal
Cd 0.000 0.000 0.500
Cd 0.500 0.000 0.000
Cd 0.000 0.500 0.000
I 0.500 0.500 0.500
Rh 0.000 0.000 0.000
CELL_PARAMETERS angstrom
-3.022 -3.933 -1.333
-0.500 -1.292 4.946
-4.122 3.040 0.378
```

symmetry: Pm-3m (221)
magnetization: 0.00 μB/f.u.
DFT total energy: -12.35 eV/cell
E_form (uncorrected): 229 meV/atom

***

# 6
This record from Alexandria describes a relaxed structure of LiPPb. The functional is GGA-PBEsol. Values from VASP.

Quantum ESPRESSO input file:
```
&SYSTEM
  ibrav = 0, nat = 3, ntyp = 3
/
ATOMIC_SPECIES
Pb 207.20 Pb.upf
P 30.97 P.upf
Li 6.94 Li.upf
ATOMIC_POSITIONS crystal
Pb 0.326 0.326 0.652
P 0.675 0.675 0.349
Li 0.000 0.000 0.999
CELL_PARAMETERS angstrom
3.840 0.000 0.000
0.000 3.840 0.000
-1.920 -1.920 4.173
```

DFT formation energy: -0.0531 eV per atom
symmetry: I4mm (107)
magnetization: 0.00 μB/f.u.
DFT total energy: -11.92 eV/cell

***

Please write out number 5 again, unchanged.
This record from Alexandria describes a relaxed structure of Cd3RhI. The functional is GGA-PBEsol. Values from VASP.

Quantum ESPRESSO input file:
```
&SYSTEM
  ibrav = 0, nat = 5, ntyp = 3
/
ATOMIC_SPECIES
Cd 112.41 Cd.upf
I 126.90 I.upf
Rh 102.91 Rh.upf
ATOMIC_POSITIONS crystal
Cd 0.000 0.000 0.500
Cd 0.500 0.000 0.000
Cd 0.000 0.500 0.000
I 0.500 0.500 0.500
Rh 0.000 0.000 0.000
CELL_PARAMETERS angstrom
-3.022 -3.933 -1.333
-0.500 -1.292 4.946
-4.122 3.040 0.378
```

symmetry: Pm-3m (221)
magnetization: 0.00 μB/f.u.
DFT total energy: -12.35 eV/cell
E_form (uncorrected): 229 meV/atom